(1)
Material: LaDy2TmSe4
Method: DFT, GGA-PBE
State: relaxed

## Properties
- symmetry = No. 10

Cell and atoms, written as extended XYZ:
```
8
Lattice="7.089 0.000 0.000 0.000 4.059 0.000 -2.330 0.000 6.891" Properties=species:S:1:pos:R:3 pbc="T T T"
La 0.000 0.000 0.000
Dy 2.380 0.000 3.445
Dy 3.544 2.029 0.000
Tm -1.165 2.029 3.445
Se 0.059 0.000 5.095
Se 1.227 2.029 1.826
Se 3.532 2.029 5.065
Se 4.700 0.000 1.795
```


(2)
Material: LaDy2TmSe6
Method: DFT, GGA-PBE
State: relaxed

## Properties
- symmetry = No. 146

Cell and atoms, written as extended XYZ:
```
10
Lattice="3.648 2.106 6.488 -3.648 2.106 6.488 0.000 -4.213 6.488" Properties=species:S:1:pos:R:3 pbc="T T T"
La 0.000 0.000 0.000
Dy 0.000 0.000 5.708
Dy 0.000 0.000 15.544
Tm 0.000 0.000 9.561
Se -2.143 -0.163 7.659
Se -1.389 -2.092 10.888
Se 1.212 -1.774 7.659
Se -1.117 2.248 10.888
Se 0.930 1.937 7.659
Se 2.506 -0.157 10.888
```


(3)
Material: La4Dy3TmSe8
Method: DFT, GGA-PBE
State: relaxed

## Properties
- symmetry = No. 166

Cell and atoms, written as extended XYZ:
```
16
Lattice="4.150 2.396 6.959 -4.150 2.396 6.959 0.000 -4.792 6.959" Properties=species:S:1:pos:R:3 pbc="T T T"
La 0.000 0.000 0.000
La -2.075 -1.198 6.959
La -2.075 1.198 13.919
La 0.000 2.396 6.959
Dy -4.150 0.000 10.439
Dy -2.075 1.198 3.480
Dy 2.075 1.198 3.480
Tm 0.000 0.000 10.439
Se 0.000 0.000 5.084
Se -2.057 -1.188 12.029
Se 0.000 -2.375 8.849
Se -2.057 1.188 8.849
Se 2.057 -1.188 12.029
Se 0.000 2.375 12.029
Se 2.057 1.188 8.849
Se 0.000 0.000 15.794
```


(4)
Material: La2DyTmSe4
Method: DFT, GGA-PBE
State: relaxed

## Properties
- symmetry = No. 10

Cell and atoms, written as extended XYZ:
```
8
Lattice="7.144 0.000 0.000 0.000 4.099 0.000 -2.360 0.000 7.045" Properties=species:S:1:pos:R:3 pbc="T T T"
La 0.000 0.000 0.000
La 3.572 2.050 0.000
Dy -1.180 2.050 3.522
Tm 2.392 0.000 3.522
Se 0.034 0.000 5.131
Se 1.218 2.050 1.926
Se 3.567 2.050 5.119
Se 4.750 0.000 1.913
```


(5)
Material: La2DyYSe4
Method: DFT, GGA-PBE
State: relaxed

## Properties
- symmetry = No. 10

Cell and atoms, written as extended XYZ:
```
8
Lattice="7.209 0.000 0.000 0.000 4.134 0.000 -2.379 0.000 7.010" Properties=species:S:1:pos:R:3 pbc="T T T"
La 0.000 0.000 0.000
La 3.604 2.067 0.000
Dy -1.190 2.067 3.505
Y 2.415 0.000 3.505
Se 0.012 0.000 5.124
Se 1.205 2.067 1.884
Se 3.624 2.067 5.126
Se 4.817 0.000 1.886
```


(6)
Material: LaDy2YSe4
Method: DFT, GGA-PBE
State: relaxed

## Properties
- symmetry = No. 10

Cell and atoms, written as extended XYZ:
```
8
Lattice="7.195 0.000 0.000 0.000 4.085 0.000 -2.323 0.000 6.827" Properties=species:S:1:pos:R:3 pbc="T T T"
La 0.000 0.000 0.000
Dy -1.162 2.042 3.413
Dy 2.436 0.000 3.413
Y 3.598 2.042 0.000
Se 0.109 0.000 5.073
Se 1.275 2.042 1.796
Se 3.597 2.042 5.031
Se 4.763 0.000 1.754
```


(7)
Material: LaDyY2Se6
Method: DFT, GGA-PBE
State: relaxed

## Properties
- symmetry = No. 146

Cell and atoms, written as extended XYZ:
```
10
Lattice="3.663 2.115 6.503 -3.663 2.115 6.503 0.000 -4.230 6.503" Properties=species:S:1:pos:R:3 pbc="T T T"
La 0.000 0.000 0.000
Dy 0.000 0.000 9.611
Y 0.000 0.000 5.735
Y 0.000 0.000 15.574
Se -2.160 -0.162 7.672
Se -1.411 -2.130 10.916
Se 1.221 -1.790 7.672
Se -1.139 2.286 10.916
Se 0.940 1.952 7.672
Se 2.550 -0.157 10.916
```


(8)
Material: LaDyYSe3
Method: DFT, GGA-PBE
State: relaxed

## Properties
- symmetry = No. 11

Cell and atoms, written as extended XYZ:
```
12
Lattice="8.004 0.000 0.000 0.000 4.122 0.000 -2.441 0.000 10.048" Properties=species:S:1:pos:R:3 pbc="T T T"
La 0.974 1.030 2.129
La 4.590 3.091 7.919
Dy 0.446 3.091 9.132
Dy 5.117 1.030 0.916
Y -0.145 1.030 6.242
Y 5.709 3.091 3.807
Se -1.449 1.030 8.923
Se 0.573 3.091 4.439
Se 3.366 3.091 1.935
Se 2.197 1.030 8.114
Se 4.991 1.030 5.609
Se 7.013 3.091 1.126
```


(9)
Material: La3DyY2Se6
Method: DFT, GGA-PBE
State: relaxed

## Properties
- symmetry = No. 12

Cell and atoms, written as extended XYZ:
```
12
Lattice="3.601 -6.259 0.000 3.601 6.259 0.000 -2.411 0.000 6.953" Properties=species:S:1:pos:R:3 pbc="T T T"
La 0.000 0.000 0.000
La 3.601 2.092 0.000
La 3.601 -2.092 0.000
Dy 2.396 0.000 3.476
Y 2.396 4.174 3.476
Y 2.396 -4.174 3.476
Se 1.201 2.082 1.867
Se -0.003 0.000 5.090
Se 1.201 -2.082 1.867
Se 3.590 2.082 5.086
Se 4.794 0.000 1.863
Se 3.590 -2.082 5.086
```


(10)
Material: LaDy2YSe6
Method: DFT, GGA-PBE
State: relaxed

## Properties
- symmetry = No. 146

Cell and atoms, written as extended XYZ:
```
10
Lattice="3.662 2.114 6.503 -3.662 2.114 6.503 0.000 -4.228 6.503" Properties=species:S:1:pos:R:3 pbc="T T T"
La 0.000 0.000 0.000
Dy 0.000 0.000 5.734
Dy 0.000 0.000 15.574
Y 0.000 0.000 9.607
Se -2.162 -0.171 7.663
Se -1.411 -2.137 10.912
Se 1.229 -1.787 7.663
Se -1.145 2.291 10.912
Se 0.933 1.958 7.663
Se 2.556 -0.154 10.912
```


(11)
Material: La3Dy3YSe8
Method: DFT, GGA-PBE
State: relaxed

## Properties
- symmetry = No. 166

Cell and atoms, written as extended XYZ:
```
15
Lattice="4.142 2.391 6.929 -4.142 2.391 6.929 0.000 -4.783 6.929" Properties=species:S:1:pos:R:3 pbc="T T T"
La -2.071 -1.196 6.929
La -2.071 1.196 13.859
La 0.000 2.391 6.929
Dy -4.142 0.000 10.394
Dy -2.071 1.196 3.465
Dy 2.071 1.196 3.465
Y 0.000 0.000 10.394
Se -2.104 -1.215 12.028
Se 0.000 0.000 5.072
Se 0.000 -2.429 8.760
Se -2.104 1.215 8.760
Se 2.104 -1.215 12.028
Se 0.000 2.429 12.028
Se 0.000 0.000 15.716
Se 2.104 1.215 8.760
```


(12)
Material: La4DyY3Se8
Method: DFT, GGA-PBE
State: relaxed

## Properties
- symmetry = No. 166

Cell and atoms, written as extended XYZ:
```
16
Lattice="4.172 2.409 6.941 -4.172 2.409 6.941 0.000 -4.818 6.941" Properties=species:S:1:pos:R:3 pbc="T T T"
La 0.000 0.000 0.000
La -2.086 -1.204 6.941
La -2.086 1.204 13.882
La 0.000 2.409 6.941
Dy 0.000 0.000 10.412
Y -4.172 0.000 10.412
Y -2.086 1.204 3.471
Y 2.086 1.204 3.471
Se 0.000 0.000 5.079
Se -2.083 -1.202 12.017
Se 0.000 -2.405 8.806
Se -2.083 1.202 8.806
Se 2.083 -1.202 12.017
Se 0.000 2.405 12.017
Se 2.083 1.202 8.806
Se 0.000 0.000 15.744
```


Number 1: energy -5.844 eV per atom, total magnetization 0.00 μB per formula unit. Number 2: energy -5.826 eV per atom, total magnetization 0.00 μB per formula unit. Number 3: energy -5.985 eV per atom, total magnetization 0.00 μB per formula unit. Number 4: energy -5.970 eV per atom, total magnetization 0.00 μB per formula unit. Number 5: energy -6.242 eV per atom, total magnetization 0.00 μB per formula unit. Number 6: energy -6.126 eV per atom, total magnetization 0.00 μB per formula unit. Number 7: energy -6.224 eV per atom, total magnetization 0.00 μB per formula unit. Number 8: energy -6.097 eV per atom, total magnetization 0.00 μB per formula unit. Number 9: energy -6.324 eV per atom, total magnetization 0.00 μB per formula unit. Number 10: energy -6.035 eV per atom, total magnetization 0.00 μB per formula unit. Number 11: energy -6.114 eV per atom, total magnetization 0.00 μB per formula unit. Number 12: energy -6.359 eV per atom, total magnetization 0.00 μB per formula unit.